## w
DFT (PBE) results for LiCe2Sn after structural relaxation.

Geometry as POSCAR:
```
LiCe2Sn
1.0
4.903 0.000 0.000
0.000 4.439 0.000
0.000 0.000 4.439
Sn Li Ce
1 1 2
Direct
0.500 0.000 0.000
0.500 0.500 0.500
0.000 0.500 0.000
0.000 0.000 0.500
```

Properties
DOS at the Fermi energy in states/eV/f.u.: 8.59
SG: P4/mmm, No. 123

## x
DFT (PBE) results for LiCe2Sn after structural relaxation.

Geometry as POSCAR:
```
LiCe2Sn
1.0
3.187 0.000 0.000
1.593 2.760 0.000
1.593 0.920 12.071
Sn Li Ce
1 1 2
Direct
0.500 0.500 0.500
0.000 0.000 0.000
0.911 0.911 0.268
0.089 0.089 0.732
```

Properties
DOS at the Fermi energy in states/eV/f.u.: 9.20
SG: R-3m, No. 166

## y
DFT (PBE) results for LiCe2Sn after structural relaxation.

Geometry as POSCAR:
```
LiCe2Sn
1.0
5.370 0.000 0.000
2.685 4.650 0.000
2.685 1.550 4.384
Li Ce Sn
1 2 1
Direct
0.000 0.000 0.000
0.750 0.750 0.750
0.250 0.250 0.250
0.500 0.500 0.500
```

Properties
DOS at the Fermi energy in states/eV/f.u.: 16.99
SG: Fm-3m, No. 225

What should be chosen as the least stable of them? Choose x.

## w
DFT (PBE) results for LiCe2Th after structural relaxation.

Geometry as POSCAR:
```
LiCe2Th
1.0
-1.762 -1.189 -2.756
2.908 -1.468 -1.226
-1.948 -7.653 4.546
Ce Th Li
2 1 1
Direct
0.000 0.000 0.759
0.000 0.000 0.241
0.500 0.500 0.500
0.500 0.500 0.000
```

Properties
DOS at the Fermi energy in states/eV/f.u.: 10.33
SG: P4/mmm, No. 123

## x
DFT (PBE) results for LiCe2Th after structural relaxation.

Geometry as POSCAR:
```
LiCe2Th
1.0
5.088 0.000 0.000
0.000 4.599 0.000
0.000 0.000 4.599
Ce Li Th
2 1 1
Direct
0.000 0.500 0.000
0.000 0.000 0.500
0.500 0.500 0.500
0.500 0.000 0.000
```

Properties
DOS at the Fermi energy in states/eV/f.u.: 10.38
SG: P4/mmm, No. 123

What should be chosen as the least stable of them? Choose x.

## w
DFT (PBE) results for LiCeTl3 after structural relaxation.

Geometry as POSCAR:
```
LiCeTl3
1.0
-5.192 2.501 -1.137
-1.577 -5.104 -4.027
-2.702 -3.254 5.183
Tl Li Ce
6 2 2
Direct
0.364 0.000 0.500
0.636 0.500 0.000
0.000 0.750 0.250
0.000 0.250 0.750
0.000 0.750 0.750
0.000 0.250 0.250
0.785 0.000 0.500
0.215 0.500 0.000
0.500 0.000 0.000
0.500 0.500 0.500
```

Properties
DOS at the Fermi energy in states/eV/f.u.: 8.42
SG: P4/nmm, No. 129

## x
DFT (PBE) results for LiCeTl3 after structural relaxation.

Geometry as POSCAR:
```
LiCeTl3
1.0
-4.673 -0.461 -1.142
0.019 -4.425 1.707
-0.656 6.482 10.219
Ce Li Tl
2 2 6
Direct
0.828 0.577 0.155
0.172 0.423 0.845
0.397 0.147 0.293
0.603 0.853 0.707
0.287 0.037 0.074
0.713 0.963 0.926
0.450 0.700 0.401
0.051 0.802 0.603
0.949 0.198 0.397
0.550 0.300 0.599
```

Properties
DOS at the Fermi energy in states/eV/f.u.: 9.26
SG: C2/m, No. 12

What should be chosen as the least stable of them? Choose x.

## w
DFT (PBE) results for LiCeTl2 after structural relaxation.

Geometry as POSCAR:
```
LiCeTl2
1.0
3.923 0.000 0.000
0.000 5.262 0.000
0.000 0.000 5.262
Tl Ce Li
2 1 1
Direct
0.000 0.000 0.500
0.000 0.500 0.000
0.500 0.500 0.500
0.500 0.000 0.000
```

Properties
DOS at the Fermi energy in states/eV/f.u.: 7.72
SG: P4/mmm, No. 123

## x
DFT (PBE) results for LiCeTl2 after structural relaxation.

Geometry as POSCAR:
```
LiCeTl2
1.0
-2.162 2.433 0.746
-2.941 -0.746 1.395
2.580 1.462 10.254
Li Tl Ce
1 2 1
Direct
0.666 0.666 0.001
0.259 0.259 0.226
0.075 0.075 0.774
0.500 0.500 0.499
```

Properties
DOS at the Fermi energy in states/eV/f.u.: 5.37
SG: Cm, No. 8

## y
DFT (PBE) results for LiCeTl2 after structural relaxation.

Geometry as POSCAR:
```
LiCeTl2
1.0
-0.569 1.425 3.212
-3.385 -1.097 -0.113
2.070 -6.734 3.355
Tl Li Ce
2 1 1
Direct
0.000 0.000 0.790
0.000 0.000 0.210
0.500 0.500 0.000
0.500 0.500 0.500
```

Properties
DOS at the Fermi energy in states/eV/f.u.: 7.47
SG: P4/mmm, No. 123

## z
DFT (PBE) results for LiCeTl2 after structural relaxation.

Geometry as POSCAR:
```
LiCeTl2
1.0
5.278 0.000 0.000
2.639 4.571 0.000
2.639 1.524 4.309
Tl Li Ce
2 1 1
Direct
0.750 0.750 0.750
0.250 0.250 0.250
0.500 0.500 0.500
0.000 0.000 0.000
```

Properties
DOS at the Fermi energy in states/eV/f.u.: 6.56
SG: Fm-3m, No. 225

What should be chosen as the least stable of them? Choose x.

## w
DFT (PBE) results for LiCe2Tl3 after structural relaxation.

Geometry as POSCAR:
```
LiCe2Tl3
1.0
3.367 0.000 0.000
0.000 6.517 0.000
-1.683 0.000 14.860
Tl Li Ce
6 2 4
Direct
0.765 0.750 0.529
0.583 0.504 0.166
0.235 0.250 0.471
0.417 0.496 0.834
0.583 0.996 0.166
0.417 0.004 0.834
0.658 0.250 0.316
0.342 0.750 0.684
0.002 0.250 0.003
0.166 0.750 0.331
0.834 0.250 0.669
0.998 0.750 0.997
```

Properties
DOS at the Fermi energy in states/eV/f.u.: 12.80
SG: Cmcm, No. 63

## x
DFT (PBE) results for LiCe2Tl3 after structural relaxation.

Geometry as POSCAR:
```
LiCe2Tl3
1.0
5.311 0.000 0.000
-2.656 4.600 0.000
0.000 0.000 6.755
Li Ce Tl
1 2 3
Direct
0.000 0.000 0.000
0.667 0.333 0.311
0.333 0.667 0.689
0.667 0.333 0.838
0.333 0.667 0.162
0.000 0.000 0.500
```

Properties
DOS at the Fermi energy in states/eV/f.u.: 14.48
SG: P-3m1, No. 164

What should be chosen as the least stable of them? Choose w.

## w
DFT (PBE) results for LiCeTl after structural relaxation.

Geometry as POSCAR:
```
LiCeTl
1.0
-2.145 2.301 -1.107
0.704 -0.857 -3.145
-4.029 -5.088 2.253
Tl Ce Li
1 1 1
Direct
0.594 0.594 0.187
0.285 0.285 0.569
0.972 0.972 0.944
```

Properties
DOS at the Fermi energy in states/eV/f.u.: 5.94
SG: I4mm, No. 107

## x
DFT (PBE) results for LiCeTl after structural relaxation.

Geometry as POSCAR:
```
LiCeTl
1.0
3.268 0.000 0.000
0.000 4.950 0.000
-1.634 -2.475 4.750
Tl Ce Li
1 1 1
Direct
0.665 0.665 0.330
0.005 0.005 0.010
0.330 0.330 0.661
```

Properties
DOS at the Fermi energy in states/eV/f.u.: 7.16
SG: Imm2, No. 44

## y
DFT (PBE) results for LiCeTl after structural relaxation.

Geometry as POSCAR:
```
LiCeTl
1.0
5.112 -0.001 0.000
-2.556 4.428 0.000
0.000 0.000 6.405
Ce Tl Li
2 2 2
Direct
0.000 0.500 0.500
0.000 0.500 0.000
0.333 0.167 0.250
0.667 0.833 0.750
0.333 0.167 0.750
0.667 0.833 0.250
```

Properties
DOS at the Fermi energy in states/eV/f.u.: 6.21
SG: P6_3/mmc, No. 194

## z
DFT (PBE) results for LiCeTl after structural relaxation.

Geometry as POSCAR:
```
LiCeTl
1.0
3.345 0.000 0.000
0.000 5.086 0.000
0.000 -2.543 4.405
Li Tl Ce
1 1 1
Direct
0.166 0.667 0.333
0.167 0.000 0.000
0.667 0.333 0.667
```

Properties
DOS at the Fermi energy in states/eV/f.u.: 7.01
SG: P-6m2, No. 187

What should be chosen as the least stable of them? Choose x.

## w
DFT (PBE) results for Li2CeTl3 after structural relaxation.

Geometry as POSCAR:
```
Li2CeTl3
1.0
4.943 0.000 0.000
-2.471 4.280 0.000
0.000 0.000 14.108
Tl Ce Li
6 2 4
Direct
0.333 0.667 0.133
0.667 0.333 0.867
0.000 0.000 0.500
0.667 0.333 0.633
0.000 0.000 0.000
0.333 0.667 0.367
0.000 0.000 0.250
0.000 0.000 0.750
0.333 0.667 0.586
0.667 0.333 0.086
0.667 0.333 0.414
0.333 0.667 0.914
```

Properties
DOS at the Fermi energy in states/eV/f.u.: 8.73
SG: P6_3/mmc, No. 194

## x
DFT (PBE) results for Li2CeTl3 after structural relaxation.

Geometry as POSCAR:
```
Li2CeTl3
1.0
-2.333 2.608 3.678
-1.973 -4.376 -1.651
6.981 -6.576 9.090
Ce Tl Li
2 6 4
Direct
0.667 0.333 0.329
0.333 0.667 0.671
0.000 0.000 0.776
0.667 0.333 0.076
0.667 0.333 0.576
0.000 0.000 0.224
0.333 0.667 0.924
0.333 0.667 0.424
0.000 0.000 0.000
0.667 0.333 0.840
0.333 0.667 0.160
0.000 0.000 0.500
```

Properties
DOS at the Fermi energy in states/eV/f.u.: 7.55
SG: P-3m1, No. 164

What should be chosen as the least stable of them? Choose w.

## w
DFT (PBE) results for LiCeTm2 after structural relaxation.

Geometry as POSCAR:
```
LiCeTm2
1.0
3.388 0.000 0.000
1.694 2.934 0.000
1.694 0.978 11.768
Li Tm Ce
1 2 1
Direct
0.000 0.000 0.000
0.089 0.089 0.733
0.911 0.911 0.267
0.500 0.500 0.500
```

Properties
DOS at the Fermi energy in states/eV/f.u.: 6.26
SG: R-3m, No. 166

## x
DFT (PBE) results for LiCeTm2 after structural relaxation.

Geometry as POSCAR:
```
LiCeTm2
1.0
3.579 0.000 0.000
0.000 5.510 0.000
0.000 0.000 5.510
Li Tm Ce
1 2 1
Direct
0.500 0.000 0.000
0.000 0.500 0.000
0.000 0.000 0.500
0.500 0.500 0.500
```

Properties
DOS at the Fermi energy in states/eV/f.u.: 8.10
SG: P4/mmm, No. 123

What should be chosen as the least stable of them? Choose x.